[1]
Computed, not measured: a relaxed structure of Tb6Ge3SbSe2 at the PBE-GGA level of DFT. Values from VASP.

The structure in Quantum ESPRESSO input format:
```
&SYSTEM
  ibrav = 0, nat = 12, ntyp = 4
/
ATOMIC_SPECIES
Tb 158.93 Tb.upf
Ge 72.64 Ge.upf
Sb 121.76 Sb.upf
Se 78.96 Se.upf
CELL_PARAMETERS angstrom
-1.7590 2.6485 2.6821
0.3513 -5.9027 6.0593
8.8456 3.1920 -0.5764
ATOMIC_POSITIONS angstrom
Tb 5.5459 -2.4669 6.0732
Tb 1.9579 -0.6591 5.1605
Tb 1.8921 2.4047 2.0918
Tb 7.1738 4.2905 3.6935
Tb 0.2642 -4.3527 4.4715
Tb 5.4800 0.5969 3.0045
Ge -0.7038 -1.6271 4.3707
Ge 4.4997 3.3444 2.8739
Ge 2.9383 -3.4066 5.2910
Sb -0.8795 1.3243 1.3410
Se 4.6413 0.4008 5.8737
Se 2.7966 -0.4630 2.2913
```

- Total magnetization: 0.0 μB per formula unit
- Energy relative to the elements, uncorrected: -1.231 eV/atom
- Space-group type: C2/m (12)

---

[2]
Computed, not measured: a relaxed structure of Cr2Te2I at the PBE-GGA level of DFT. Values from VASP.

The structure in Quantum ESPRESSO input format:
```
&SYSTEM
  ibrav = 0, nat = 10, ntyp = 3
/
ATOMIC_SPECIES
I 126.90 I.upf
Cr 52.00 Cr.upf
Te 127.60 Te.upf
CELL_PARAMETERS angstrom
-0.4786 -9.4167 4.6449
9.7955 1.2739 3.5920
-1.1546 1.3718 2.6621
ATOMIC_POSITIONS angstrom
I 0.0000 0.0000 0.0000
I 4.6584 -4.0714 4.1184
Cr 4.8941 0.8215 3.6341
Cr 8.3464 -3.4067 7.3103
Cr 3.2682 -7.5925 7.2648
Cr -0.1841 -3.3643 3.5887
Te 8.2806 -2.3196 4.7867
Te 5.8257 -7.3161 6.2967
Te 1.0362 -5.8231 3.4501
Te 3.4911 -0.8267 1.9401
```

- Total magnetization: 1.6 μB per formula unit
- Energy relative to the elements, uncorrected: 0.379 eV/atom
- Space-group type: P4/mbm (127)

---

[3]
Computed, not measured: a relaxed structure of Dy6Ho2Er3Mg at the PBE-GGA level of DFT. Values from VASP.

The structure in Quantum ESPRESSO input format:
```
&SYSTEM
  ibrav = 0, nat = 12, ntyp = 4
/
ATOMIC_SPECIES
Dy 162.50 Dy.upf
Ho 164.93 Ho.upf
Er 167.26 Er.upf
Mg 24.30 Mg.upf
CELL_PARAMETERS angstrom
6.0839 -0.0030 -0.0009
-3.0430 5.2681 -0.0009
-1.0212 -1.7681 11.4091
ATOMIC_POSITIONS angstrom
Dy 3.0376 1.7503 8.5666
Dy 2.0215 3.5001 2.8535
Dy -1.0180 1.7467 2.8407
Dy -0.0020 3.5058 8.5666
Dy -0.0018 -0.0031 8.5538
Dy 2.0217 -0.0088 2.8407
Ho 0.0039 3.5084 -0.0009
Ho 3.0369 1.7567 -0.0009
Er -2.0381 3.5088 5.7036
Er 4.0577 -0.0118 5.7036
Er 1.0098 1.7485 5.7036
Mg 0.0000 0.0000 0.0000
```

- Total magnetization: 0.0 μB per formula unit
- Formation energy from the elements: 0.028 eV/atom
- Space-group type: C2/m (12)

---

[4]
Computed, not measured: a relaxed structure of ZrCr2Te at the PBE-GGA level of DFT. Values from VASP.

The structure in Quantum ESPRESSO input format:
```
&SYSTEM
  ibrav = 0, nat = 4, ntyp = 3
/
ATOMIC_SPECIES
Cr 52.00 Cr.upf
Te 127.60 Te.upf
Zr 91.22 Zr.upf
CELL_PARAMETERS angstrom
4.1548 0.0000 0.0000
0.0000 3.3395 0.0825
0.0000 0.9012 5.4374
ATOMIC_POSITIONS angstrom
Cr 0.0000 0.3457 0.2436
Cr 2.0774 1.3085 1.1118
Te 0.0000 1.5441 2.8132
Zr 2.0774 3.1628 4.1112
```

- Total magnetization: 0.9 μB per formula unit
- Energy relative to the elements, uncorrected: 0.194 eV/atom
- Space-group type: Pm (6)

---

[5]
Computed, not measured: a relaxed structure of SmAl2Ir at the PBE-GGA level of DFT. Values from VASP.

The structure in Quantum ESPRESSO input format:
```
&SYSTEM
  ibrav = 0, nat = 8, ntyp = 3
/
ATOMIC_SPECIES
Ir 192.22 Ir.upf
Al 26.98 Al.upf
Sm 150.36 Sm.upf
CELL_PARAMETERS angstrom
-3.7104 1.6371 -1.1441
0.0142 -5.6506 -0.3889
-2.3004 -0.4726 6.7837
ATOMIC_POSITIONS angstrom
Ir -1.3688 -2.1964 1.2820
Ir -4.6277 -2.2897 3.9687
Al -2.5299 -3.5466 3.1232
Al -3.4667 -0.9395 2.1275
Al -3.4198 -3.7295 5.7474
Al -2.5768 -0.7567 -0.4967
Sm -1.9584 -0.9591 4.9667
Sm -4.0382 -3.5271 0.2841
```

- Total magnetization: 0.0 μB per formula unit
- Formation energy from the elements: -0.808 eV/atom
- Space-group type: P2_1/m (11)

---

[6]
Computed, not measured: a relaxed structure of Na5TlPb6 at the PBE-GGA level of DFT. Values from VASP.

The structure in Quantum ESPRESSO input format:
```
&SYSTEM
  ibrav = 0, nat = 12, ntyp = 3
/
ATOMIC_SPECIES
Pb 207.20 Pb.upf
Na 22.99 Na.upf
Tl 204.38 Tl.upf
CELL_PARAMETERS angstrom
4.8714 0.0000 0.0174
2.4357 7.1356 0.0087
-0.0351 0.0000 10.0230
ATOMIC_POSITIONS angstrom
Pb 4.8634 2.4065 2.5232
Pb 4.8442 2.4065 7.5346
Pb 2.4088 0.0000 7.4788
Pb 2.4275 0.0000 2.5616
Pb 2.4278 4.7291 2.5145
Pb 2.4085 4.7291 7.5259
Na 4.8538 4.7615 5.0289
Na 2.4357 2.3223 0.0087
Na -0.0176 0.0000 5.0115
Na 4.8714 4.8133 0.0174
Na 2.4181 2.3741 5.0202
Tl 0.0000 0.0000 0.0000
```

- Total magnetization: 0.0 μB per formula unit
- Formation energy from the elements: -0.120 eV/atom
- Space-group type: Cmmm (65)

---

[7]
Computed, not measured: a relaxed structure of TaBeO2F at the PBE-GGA level of DFT. Values from VASP.

The structure in Quantum ESPRESSO input format:
```
&SYSTEM
  ibrav = 0, nat = 5, ntyp = 4
/
ATOMIC_SPECIES
Be 9.01 Be.upf
F 19.00 F.upf
O 16.00 O.upf
Ta 180.95 Ta.upf
CELL_PARAMETERS angstrom
3.9566 0.0000 0.0000
0.0000 3.9566 0.0000
0.0000 0.0000 4.2160
ATOMIC_POSITIONS angstrom
Be 1.9783 1.9783 2.1080
F 0.0000 0.0000 2.1080
O 0.0000 1.9783 0.0000
O 1.9783 0.0000 0.0000
Ta 0.0000 0.0000 0.0000
```

- Total magnetization: 0.4 μB per formula unit
- Energy relative to the elements, uncorrected: -1.461 eV/atom
- Space-group type: P4/mmm (123)

---

[8]
Computed, not measured: a relaxed structure of AcScGe2Pt2 at the PBE-GGA level of DFT. Values from VASP.

The structure in Quantum ESPRESSO input format:
```
&SYSTEM
  ibrav = 0, nat = 6, ntyp = 4
/
ATOMIC_SPECIES
Ac 227.00 Ac.upf
Sc 44.96 Sc.upf
Ge 72.64 Ge.upf
Pt 195.08 Pt.upf
CELL_PARAMETERS angstrom
4.4382 0.0000 0.0000
-2.2191 3.8436 0.0000
0.0000 0.0000 7.3725
ATOMIC_POSITIONS angstrom
Ac 0.0000 0.0000 0.0000
Sc 0.0000 0.0000 3.6862
Ge 2.2191 1.2812 5.1654
Ge 0.0000 2.5624 2.2071
Pt 2.2191 1.2812 2.3198
Pt 0.0000 2.5624 5.0527
```

- Total magnetization: 0.0 μB per formula unit
- Formation energy from the elements: -1.087 eV/atom
- Space-group type: P-3m1 (164)

---

V values (in Å³ per atom) by entry order: 26.131, 35.459, 30.462, 18.784, 19.887, 29.034, 13.200, 20.960.